Entry 1:
Density functional theory data (PBE) for a relaxed structure of LiMo2Pb.

Calculated formation energy   933 meV/atom

Cell lengths 2.8679, 2.8679, 8.5585 Å; angles 90.00, 90.00, 90.00 degrees
Space group P4/mmm (No. 123)
Symmetry-distinct sites (fractional):
Li  0.0000  0.0000  0.0000 [1 per cell]
Mo  0.5000  0.5000  0.2161 [2 per cell]
Pb  0.0000  0.0000  0.5000 [1 per cell]

Entry 2:
Density functional theory data (PBE) for a relaxed structure of K2BaBe.

Calculated formation energy   655 meV/atom

Cell lengths 6.0268, 6.0531, 10.8631 Å; angles 90.00, 90.00, 90.00 degrees
Space group Cmmm (No. 65)
Symmetry-distinct sites (fractional):
K  0.0000  0.0000  0.1740 [4 per cell]
Ba  0.0000  0.5000  0.5000 [2 per cell]
Be  0.0000  0.5000  0.0000 [2 per cell]

Entry 3:
Density functional theory data (PBE) for a relaxed structure of SrLi3Ag.

Energy relative to the lowest polymorph listed for this composition   0.35 eV per formula unit
Calculated formation energy   -33 meV/atom

Cell lengths 6.9470, 6.9470, 6.1440 Å; angles 90.00, 90.00, 120.00 degrees
Space group P6_3/mmc (No. 194)
Symmetry-distinct sites (fractional):
Sr  0.3333  0.6667  0.2500 [2 per cell]
Li  0.1817  0.3634  0.7500 [6 per cell]
Ag  0.0000  0.0000  0.0000 [2 per cell]

Entry 4:
Density functional theory data (PBE) for a relaxed structure of YCdOF2.

Energy relative to the lowest polymorph listed for this composition   0.00 eV per formula unit

Cell lengths 4.4241, 4.4241, 4.4731 Å; angles 90.00, 90.00, 90.00 degrees
Space group P4/mmm (No. 123)
Symmetry-distinct sites (fractional):
Y  0.0000  0.0000  0.0000 [1 per cell]
Cd  0.5000  0.5000  0.5000 [1 per cell]
O  0.0000  0.0000  0.5000 [1 per cell]
F  0.0000  0.5000  0.0000 [2 per cell]

Entry 5:
Density functional theory data (PBE) for a relaxed structure of SrCaErTl.

Calculated formation energy   -31 meV/atom

Cell lengths 8.1178, 8.1178, 8.1178 Å; angles 90.00, 90.00, 90.00 degrees
Space group F-43m (No. 216)
Symmetry-distinct sites (fractional):
Sr  0.0000  0.0000  0.0000 [4 per cell]
Ca  0.2500  0.2500  0.7500 [4 per cell]
Er  0.0000  0.0000  0.5000 [4 per cell]
Tl  0.2500  0.2500  0.2500 [4 per cell]

Entry 6:
Density functional theory data (PBE) for a relaxed structure of K3Na.

Calculated formation energy   59 meV/atom

Cell lengths 4.2324, 4.4507, 13.6938 Å; angles 90.00, 90.00, 90.00 degrees
Space group Pmm2 (No. 25)
Symmetry-distinct sites (fractional):
K  0.0000  0.0000  0.0000 [1 per cell]
K  0.0000  0.5000  0.2862 [1 per cell]
K  0.5000  0.5000  0.7358 [1 per cell]
Na  0.5000  0.0000  0.4934 [1 per cell]

Entry 7:
Density functional theory data (PBE) for a relaxed structure of Ba2Sn5Pb.

Calculated formation energy   -399 meV/atom

Cell lengths 6.9827, 6.9827, 11.0343 Å; angles 90.00, 90.00, 90.00 degrees
Space group I4mm (No. 107)
Symmetry-distinct sites (fractional):
Ba  0.0000  0.5000  0.0000 [4 per cell]
Sn  0.0000  0.0000  0.1063 [2 per cell]
Sn  0.2231  0.2231  0.7489 [8 per cell]
Pb  0.0000  0.0000  0.4060 [2 per cell]

Entry 8:
Density functional theory data (PBE) for a relaxed structure of MgCd4Tc.

Calculated formation energy   422 meV/atom

Cell lengths 7.9227, 7.9227, 7.9227 Å; angles 90.00, 90.00, 90.00 degrees
Space group F-43m (No. 216)
Symmetry-distinct sites (fractional):
Mg  0.0000  0.0000  0.0000 [4 per cell]
Cd  0.1244  0.1244  0.3756 [16 per cell]
Tc  0.2500  0.2500  0.7500 [4 per cell]

Entry 9:
Density functional theory data (PBE) for a relaxed structure of OsO2F4.

Cell lengths 9.7044, 9.7044, 11.1385 Å; angles 90.00, 90.00, 120.00 degrees
Space group P6_1 (No. 169)
Symmetry-distinct sites (fractional):
Os  0.0784  0.5741  0.0000 [6 per cell]
O  0.1058  0.6662  0.1364 [6 per cell]
O  0.1135  0.5794  0.5134 [6 per cell]
F  0.0215  0.7118  0.9245 [6 per cell]
F  0.0889  0.5082  0.8391 [6 per cell]
F  0.1649  0.4475  0.0467 [6 per cell]
F  0.2701  0.5651  0.2921 [6 per cell]

Entry 10:
Density functional theory data (PBE) for a relaxed structure of Nd2SmAl.

Energy relative to the lowest polymorph listed for this composition   0.06 eV per formula unit
Calculated formation energy   -166 meV/atom

Cell lengths 4.8760, 4.8760, 4.8899 Å; angles 90.00, 90.00, 90.00 degrees
Space group P4/mmm (No. 123)
Symmetry-distinct sites (fractional):
Nd  0.0000  0.5000  0.0000 [2 per cell]
Sm  0.0000  0.0000  0.5000 [1 per cell]
Al  0.5000  0.5000  0.5000 [1 per cell]

Entry 11:
Density functional theory data (PBE) for a relaxed structure of VCl.

Cell lengths 4.7410, 7.0010, 10.9777 Å; angles 90.00, 90.00, 90.00 degrees
Space group P2_12_12_1 (No. 19)
Symmetry-distinct sites (fractional):
V  0.0077  0.1664  0.3624 [4 per cell]
V  0.0109  0.2275  0.5485 [4 per cell]
Cl  0.2356  0.5494  0.5269 [4 per cell]
Cl  0.2441  0.9173  0.2329 [4 per cell]

Entry 12:
Density functional theory data (PBE) for a relaxed structure of CdSn2Ir.

Calculated formation energy   -54 meV/atom

Cell lengths 3.1473, 4.9822, 6.7968 Å; angles 69.26, 89.33, 72.13 degrees
Space group P1 (No. 1)
Symmetry-distinct sites (fractional):
Cd  0.0000  0.0000  0.0000 [1 per cell]
Sn  0.6609  0.7088  0.6465 [1 per cell]
Sn  0.8306  0.3797  0.2643 [1 per cell]
Ir  0.3731  0.2760  0.6176 [1 per cell]

Entry 13:
Density functional theory data (PBE) for a relaxed structure of Na2MnSi4Pt3.

Cell lengths 4.0966, 4.0966, 10.0979 Å; angles 90.00, 90.00, 90.00 degrees
Space group P-4m2 (No. 115)
Symmetry-distinct sites (fractional):
Na  0.0000  0.5000  0.2460 [2 per cell]
Mn  0.5000  0.5000  0.0000 [1 per cell]
Si  0.0000  0.0000  0.5000 [1 per cell]
Si  0.0000  0.5000  0.8735 [2 per cell]
Si  0.5000  0.5000  0.5000 [1 per cell]
Pt  0.0000  0.0000  0.0000 [1 per cell]
Pt  0.0000  0.5000  0.6303 [2 per cell]

Entry 14:
Density functional theory data (PBE) for a relaxed structure of TbNpAs2.

Energy relative to the lowest polymorph listed for this composition   0.61 eV per formula unit
Calculated formation energy   -956 meV/atom

Cell lengths 4.0849, 4.0849, 21.0045 Å; angles 90.00, 90.00, 120.00 degrees
Space group R3m (No. 160, hexagonal axes)
Symmetry-distinct sites (fractional):
Tb  0.0000  0.0000  0.0000 [3 per cell]
Np  0.0000  0.0000  0.1717 [3 per cell]
As  0.0000  0.0000  0.5836 [3 per cell]
As  0.0000  0.0000  0.7550 [3 per cell]

Entry 15:
Density functional theory data (PBE) for a relaxed structure of LaPr2Bi.

Energy relative to the lowest polymorph listed for this composition   0.84 eV per formula unit
Calculated formation energy   -262 meV/atom

Cell lengths 8.0421, 8.0421, 8.0421 Å; angles 90.00, 90.00, 90.00 degrees
Space group Fm-3m (No. 225)
Symmetry-distinct sites (fractional):
La  0.0000  0.0000  0.0000 [4 per cell]
Pr  0.2500  0.2500  0.2500 [8 per cell]
Bi  0.0000  0.0000  0.5000 [4 per cell]

Entry 16:
Density functional theory data (PBE) for a relaxed structure of NdTmTlCu.

Calculated formation energy   -218 meV/atom

Cell lengths 7.4047, 7.4047, 7.4047 Å; angles 90.00, 90.00, 90.00 degrees
Space group F-43m (No. 216)
Symmetry-distinct sites (fractional):
Nd  0.0000  0.0000  0.0000 [4 per cell]
Tm  0.0000  0.0000  0.5000 [4 per cell]
Tl  0.2500  0.2500  0.7500 [4 per cell]
Cu  0.2500  0.2500  0.2500 [4 per cell]

Let's list energy in order: -5.888 -1.306 -2.088 -5.818 -2.684 -1.094 -3.845 -2.181 -5.490 -4.666 -5.803 -4.499 -5.668 -7.674 -4.854 -4.143 eV/atom.
Let's list magnetic moment in order: 0.00 0.00 0.00 0.00 0.00 0.00 0.00 0.43 0.00 0.00 0.12 0.00 0.16 0.98 0.00 0.00 μB/atom.